(1)
# Na2Ge4IrPd3

A relaxed Na2Ge4IrPd3 crystal (PBE, Alexandria via LeMat-Bulk).

M_tot = 0.00 μB/f.u.
energy of formation = -0.3720 eV per atom
E = -4.927 eV per atom

a b c (Å): 4.1493 4.1493 10.8348
angles (deg): 90.00 90.00 90.00
Space group P-4m2 (No. 115)
Asymmetric unit:
Na: 0.0000 0.5000 0.2468
Ge: 0.0000 0.0000 0.5000
Ge: 0.0000 0.5000 0.8712
Ge: 0.5000 0.5000 0.5000
Ir: 0.5000 0.5000 0.0000
Pd: 0.0000 0.0000 0.0000
Pd: 0.0000 0.5000 0.6398

=====

(2)
# NaGeIrPd

A relaxed NaGeIrPd crystal (PBE, Alexandria via LeMat-Bulk).

M_tot = 0.00 μB/f.u.
energy of formation = -0.1198 eV per atom
E = -5.117 eV per atom

a b c (Å): 4.2581 4.2581 6.8304
angles (deg): 90.00 90.00 90.00
Space group P4/nmm (No. 129, origin choice 2)
Asymmetric unit:
Na: 0.2500 0.2500 0.2354
Ge: 0.2500 0.2500 0.7132
Ir: 0.2500 0.7500 0.5000
Pd: 0.2500 0.7500 0.0000

=====

(3)
# NaGe2IrPd

A relaxed NaGe2IrPd crystal (PBE, Alexandria via LeMat-Bulk).

M_tot = 0.00 μB/f.u.
energy of formation = -0.3751 eV per atom
E = -5.297 eV per atom

a b c (Å): 4.1360 4.1360 10.7804
angles (deg): 90.00 90.00 90.00
Space group I-4m2 (No. 119)
Asymmetric unit:
Na: 0.0000 0.0000 0.0000
Ge: 0.0000 0.0000 0.3787
Ir: 0.0000 0.5000 0.7500
Pd: 0.0000 0.5000 0.2500

=====

(4)
# NaGe2IrPt

A relaxed NaGe2IrPt crystal (PBE, Alexandria via LeMat-Bulk).

M_tot = 0.00 μB/f.u.
energy of formation = -0.4098 eV per atom
E = -5.501 eV per atom

a b c (Å): 4.1247 4.1247 10.8494
angles (deg): 90.00 90.00 90.00
Space group I-4m2 (No. 119)
Asymmetric unit:
Na: 0.0000 0.0000 0.0000
Ge: 0.0000 0.0000 0.3795
Ir: 0.0000 0.5000 0.2500
Pt: 0.0000 0.5000 0.7500

=====

(5)
# Na2Ge3IrPt4

A relaxed Na2Ge3IrPt4 crystal (PBE, Alexandria via LeMat-Bulk).

M_tot = 0.00 μB/f.u.
energy of formation = -0.3313 eV per atom
E = -5.283 eV per atom

a b c (Å): 4.0854 4.0854 11.0447
angles (deg): 90.00 90.00 90.00
Space group P-4m2 (No. 115)
Asymmetric unit:
Na: 0.0000 0.5000 0.2447
Ge: 0.0000 0.0000 0.0000
Ge: 0.0000 0.5000 0.6381
Ir: 0.5000 0.5000 0.0000
Pt: 0.0000 0.0000 0.5000
Pt: 0.0000 0.5000 0.8535
Pt: 0.5000 0.5000 0.5000

=====

(6)
# Na2Ge4IrPt3

A relaxed Na2Ge4IrPt3 crystal (PBE, Alexandria via LeMat-Bulk).

M_tot = 0.00 μB/f.u.
energy of formation = -0.4572 eV per atom
E = -5.266 eV per atom

a b c (Å): 4.1876 4.1876 10.6217
angles (deg): 90.00 90.00 90.00
Space group P-4m2 (No. 115)
Asymmetric unit:
Na: 0.0000 0.5000 0.2469
Ge: 0.0000 0.0000 0.5000
Ge: 0.0000 0.5000 0.8687
Ge: 0.5000 0.5000 0.5000
Ir: 0.5000 0.5000 0.0000
Pt: 0.0000 0.0000 0.0000
Pt: 0.0000 0.5000 0.6337

=====

(7)
# NaGe2IrRh

A relaxed NaGe2IrRh crystal (PBE, Alexandria via LeMat-Bulk).

M_tot = 0.00 μB/f.u.
energy of formation = -0.4339 eV per atom
E = -5.787 eV per atom

a b c (Å): 4.1672 4.1672 10.4346
angles (deg): 90.00 90.00 90.00
Space group I-4m2 (No. 119)
Asymmetric unit:
Na: 0.0000 0.0000 0.0000
Ge: 0.0000 0.0000 0.3746
Ir: 0.0000 0.5000 0.7500
Rh: 0.0000 0.5000 0.2500

=====

(8)
# Na2Ge4Ir3Rh

A relaxed Na2Ge4Ir3Rh crystal (PBE, Alexandria via LeMat-Bulk).

M_tot = 0.00 μB/f.u.
energy of formation = -0.3451 eV per atom
E = -5.849 eV per atom

a b c (Å): 4.1984 4.1984 10.2694
angles (deg): 90.00 90.00 90.00
Space group P-4m2 (No. 115)
Asymmetric unit:
Na: 0.0000 0.5000 0.2405
Ge: 0.0000 0.0000 0.5000
Ge: 0.0000 0.5000 0.8728
Ge: 0.5000 0.5000 0.5000
Ir: 0.0000 0.0000 0.0000
Ir: 0.0000 0.5000 0.6312
Rh: 0.5000 0.5000 0.0000